Density functional theory data (GGA-PBE) for a geometry-optimized Sr3IO3 structure.

abc: 7.2147 7.2147 9.2584
angles: 67.07 67.07 60.00
Last column: nearest neighbours and their distance in Å.
Fractional positions:
O  0.2000  0.8730  0.3750  4 Sr 2.44-2.48
O  0.1270  0.4479  0.6250  4 Sr 2.44-2.48
O  0.8730  0.5521  0.3750  4 Sr 2.44-2.48
O  0.8000  0.1270  0.6250  4 Sr 2.44-2.48
O  0.5521  0.2000  0.3750  4 Sr 2.44-2.48
O  0.4479  0.8000  0.6250  4 Sr 2.44-2.48
Sr  0.7671  0.4518  0.6746  4 O 2.44-2.48
Sr  0.4518  0.1066  0.6746  4 O 2.44-2.48
Sr  0.1066  0.7671  0.6746  4 O 2.44-2.48
Sr  0.5482  0.8934  0.3254  4 O 2.44-2.48
Sr  0.2329  0.5482  0.3254  4 O 2.44-2.48
Sr  0.8934  0.2329  0.3254  4 O 2.44-2.48
I  0.6664  0.6664  0.0009  6 Sr 3.59, 6 O 3.93-3.96
I  0.3336  0.3336  0.9991  6 Sr 3.59, 6 O 3.93-3.96

Output
* formation energy (no corrections): -15.6 eV per formula unit
* calculated density: 3.9 Mg/m³
* DOS at the Fermi energy: 6.4 states/eV/f.u.

=====

Density functional theory data (GGA-PBE) for a geometry-optimized AgSe2BrN structure.

abc: 5.1873 5.1873 5.5129
angles: 90.00 90.00 90.00
Last column: nearest neighbours and their distance in Å.
Fractional positions:
Se  0.5000  0.0000  0.0000  2 Ag 2.59
Se  0.0000  0.5000  0.0000  2 Ag 2.59
N  0.5000  0.5000  0.5000  4 Br 3.67, 8 Se 3.78
Br  0.0000  0.0000  0.5000  2 Ag 2.76
Ag  0.0000  0.0000  0.0000  4 Se 2.59, 2 Br 2.76

Output
* E above lowest polymorph: 782 meV per atom
* formation energy (no corrections): 7.5 eV per formula unit
* calculated density: 4.0 Mg/m³
* DOS at the Fermi energy: 3.0 states/eV/f.u.

=====

no.,E_tot (eV per atom)
1,-5.290
2,-2.466